A relaxed structure of RbSrTa6, computed with PBE-GGA.

Magnetization ... 0.0 Bohr magnetons per cell

Geometry as CIF:
```
data_RbSrTa6
_chemical_formula_sum 'Rb3 Sr3 Ta18'
_symmetry_space_group_name_H-M 'R -3'
_symmetry_Int_Tables_number 148
_symmetry_space_group_name_Hall '-R 3'
_cell_length_a 8.9646
_cell_length_b 8.9646
_cell_length_c 7.8821
_cell_angle_alpha 90.00
_cell_angle_beta 90.00
_cell_angle_gamma 120.00
loop_
_atom_site_label
_atom_site_type_symbol
_atom_site_fract_x
_atom_site_fract_y
_atom_site_fract_z
_atom_site_occupancy
Rb1 Rb 0.0000 0.0000 0.0000 1
Sr1 Sr 0.0000 0.0000 0.5000 1
Ta1 Ta 0.0006 0.6853 0.2519 1
```



A relaxed structure of LiTbInAu, computed with PBE-GGA.

Magnetization ... 0.0 Bohr magnetons per cell

Geometry as CIF:
```
data_LiTbInAu
_chemical_formula_sum 'Li4 Tb4 In4 Au4'
_symmetry_space_group_name_H-M 'F -4 3 m'
_symmetry_Int_Tables_number 216
_symmetry_space_group_name_Hall 'F -4 2 3'
_cell_length_a 6.868
_cell_length_b 6.868
_cell_length_c 6.868
_cell_angle_alpha 90.00
_cell_angle_beta 90.00
_cell_angle_gamma 90.00
loop_
_atom_site_label
_atom_site_type_symbol
_atom_site_fract_x
_atom_site_fract_y
_atom_site_fract_z
_atom_site_occupancy
Li1 Li 0.000 0.000 0.000 1
Tb1 Tb 0.250 0.250 0.250 1
In1 In 0.250 0.250 0.750 1
Au1 Au 0.000 0.000 0.500 1
```



A relaxed structure of NaHfU, computed with PBE-GGA.

Magnetization ... 13.5 Bohr magnetons per cell

Geometry as CIF:
```
data_NaHfU
_chemical_formula_sum 'Na4 Hf4 U4'
_symmetry_space_group_name_H-M 'F -4 3 m'
_symmetry_Int_Tables_number 216
_symmetry_space_group_name_Hall 'F -4 2 3'
_cell_length_a 6.977
_cell_length_b 6.977
_cell_length_c 6.977
_cell_angle_alpha 90.00
_cell_angle_beta 90.00
_cell_angle_gamma 90.00
loop_
_atom_site_label
_atom_site_type_symbol
_atom_site_fract_x
_atom_site_fract_y
_atom_site_fract_z
_atom_site_occupancy
Na1 Na 0.000 0.000 0.000 1
Hf1 Hf 0.000 0.000 0.500 1
U1 U 0.250 0.250 0.750 1
```



A relaxed structure of AgBAsO, computed with PBE-GGA.

Geometry as CIF:
```
data_AgBAsO
_chemical_formula_sum 'Ag2 B2 As2 O2'
_symmetry_space_group_name_H-M 'P m c 21'
_symmetry_Int_Tables_number 26
_cell_length_a 2.593
_cell_length_b 7.130
_cell_length_c 6.047
_cell_angle_alpha 90.00
_cell_angle_beta 90.00
_cell_angle_gamma 90.00
loop_
_symmetry_equiv_pos_as_xyz
'x,y,z'
'-x,-y,z+1/2'
'-x,y,z'
'x,-y,z+1/2'
loop_
_atom_site_label
_atom_site_type_symbol
_atom_site_fract_x
_atom_site_fract_y
_atom_site_fract_z
_atom_site_occupancy
Ag1 Ag 0.000 0.083 0.000 1
B1 B 0.500 0.343 0.477 1
As1 As 0.500 0.378 0.832 1
O1 O 0.000 0.255 0.418 1
```



VASP energy (computed, eV/f.u.): -65.09, -15.08, -16.95, -21.36